KYMn2 | PBE | optimized geometry

The structure in CIF format:
```
data_KYMn2
_cell_length_a 3.3999
_cell_length_b 3.3999
_cell_length_c 32.3270
_cell_angle_alpha 90.00
_cell_angle_beta 90.00
_cell_angle_gamma 120.00
_space_group_name_H-M_alt 'R -3 m'
_space_group_IT_number 166
_space_group_name_Hall '-R 3 2"'
loop_
_atom_site_label
_atom_site_type_symbol
_atom_site_fract_x
_atom_site_fract_y
_atom_site_fract_z
_atom_site_occupancy
K1 K 0.0000 0.0000 0.0000 1
Y1 Y 0.0000 0.0000 0.5000 1
Mn1 Mn 0.0000 0.0000 0.2387 1
```

- energy of formation from the pure elements (eV/f.u.) = 3.2
- size of the total moment (μB per formula unit) = 7.1
- total DFT energy (no corrections) (eV/atom) = -5.671
- energy above the most stable polymorph in this dataset (kcal/mol of atoms) = 7.59